No. 1
Cs2U2S5: optimized geometry, PBE-GGA.

Cell: 7.6446 7.6409 9.3372 Å, 114.15 90.00 90.00°
Closest atoms and distances in Å follow each position.
Fractional coordinates of all 18 atoms:
U 0.1640 0.6638 0.0000  8 S 2.69-2.91
U 0.8360 0.3362 0.0000  8 S 2.69-2.91
U 0.3360 0.1638 0.0000  8 S 2.69-2.91
U 0.6640 0.8362 0.0000  8 S 2.69-2.91
S 0.1434 0.4565 0.2002  3 U 2.69-2.91
S 0.5000 0.5000 0.0000  4 U 2.86
S 0.8566 0.5435 0.7998  3 U 2.69-2.91
S 0.1434 0.2563 0.7998  3 U 2.69-2.91
S 0.6434 0.0435 0.7998  3 U 2.69-2.91
S 0.3566 0.9565 0.2002  3 U 2.69-2.91
S 0.6434 0.2437 0.2002  3 U 2.69-2.91
S 0.8566 0.7437 0.2002  3 U 2.69-2.91
S 0.0000 0.0000 0.0000  4 U 2.86
S 0.3566 0.7563 0.7998  3 U 2.69-2.91
Cs 0.0000 0.7937 0.5874  7 S 3.45-3.65
Cs 0.5000 0.7063 0.4126  7 S 3.45-3.65
Cs 0.5000 0.2937 0.5874  7 S 3.45-3.65
Cs 0.0000 0.2063 0.4126  7 S 3.45-3.65

- formation energy (no corrections) (meV/atom) = -1389
- space group = Cmce
- offset from the most stable computed form (meV/atom) = 0.0

=====

No. 2
Ca2YCr: optimized geometry, PBE-GGA.

Cell: 11.3817 11.3817 11.3817 Å, 18.41 18.41 18.41°
Closest atoms and distances in Å follow each position.
Fractional coordinates of all 4 atoms:
Y 0.7500 0.7500 0.7500  6 Y 3.64, 6 Ca 3.76
Ca 0.5094 0.5094 0.5094  3 Cr 3.25, 6 Ca 3.64
Ca 0.9906 0.9906 0.9906  3 Cr 3.25, 6 Ca 3.64
Cr 0.2500 0.2500 0.2500  6 Ca 3.25, 6 Cr 3.64

- space group = R-3m
- offset from the most stable computed form (meV/atom) = 239.5

=====

No. 3
InBr2Cl: optimized geometry, PBE-GGA.

Cell: 4.1022 4.2691 6.9909 Å, 90.00 90.00 90.00°
Closest atoms and distances in Å follow each position.
Fractional coordinates of all 4 atoms:
Br 0.0000 0.0000 0.0000  4 Br 2.96
Br 0.5000 0.5000 0.0000  4 Br 2.96
Cl 0.5000 0.0000 0.5000  4 In 2.96
In 0.0000 0.5000 0.5000  4 Cl 2.96

- formation energy (no corrections) (meV/atom) = -280
- space group = Pmmm
- offset from the most stable computed form (meV/atom) = 630.1

=====

No. 4
DyPaW4: optimized geometry, PBE-GGA.

Cell: 5.5355 5.5355 5.5355 Å, 60.00 60.00 60.00°
Closest atoms and distances in Å follow each position.
Fractional coordinates of all 6 atoms:
W 0.6253 0.1242 0.6253  6 W 2.76-2.77
W 0.6253 0.6253 0.6253  6 W 2.76-2.77
W 0.1242 0.6253 0.6253  6 W 2.76-2.77
W 0.6253 0.6253 0.1242  6 W 2.76-2.77
Pa 0.0000 0.0000 0.0000  12 W 3.24, 4 Dy 3.39
Dy 0.2500 0.2500 0.2500  12 W 3.25, 4 Pa 3.39

- space group = F-43m
- final energy (eV per atom) = -10.853

=====

No. 5
PrZn3Au3: optimized geometry, PBE-GGA.

Cell: 8.5709 8.5709 8.5709 Å, 60.00 60.00 60.00°
Closest atoms and distances in Å follow each position.
Fractional coordinates of all 14 atoms:
Zn 0.8539 0.1461 0.1461  1 Au 2.33, 4 Zn 2.51
Zn 0.1461 0.8539 0.1461  1 Au 2.33, 4 Zn 2.51
Zn 0.8539 0.1461 0.8539  1 Au 2.33, 4 Zn 2.51
Zn 0.8539 0.8539 0.1461  1 Au 2.33, 4 Zn 2.51
Zn 0.1461 0.8539 0.8539  1 Au 2.33, 4 Zn 2.51
Zn 0.1461 0.1461 0.8539  1 Au 2.33, 4 Zn 2.51
Au 0.6614 0.3386 0.6614  1 Zn 2.33
Au 0.6614 0.3386 0.3386  1 Zn 2.33
Au 0.3386 0.6614 0.3386  1 Zn 2.33
Au 0.3386 0.3386 0.6614  1 Zn 2.33
Au 0.6614 0.6614 0.3386  1 Zn 2.33
Au 0.3386 0.6614 0.6614  1 Zn 2.33
Pr 0.7500 0.7500 0.7500  12 Au 4.42, 12 Zn 4.47
Pr 0.2500 0.2500 0.2500  12 Au 4.42, 12 Zn 4.47

- space group = Fm-3m
- offset from the most stable computed form (meV/atom) = 874.9

=====

No. 6
Pd2RhS2: optimized geometry, PBE-GGA.

Cell: 6.5564 6.5564 3.5538 Å, 90.00 90.00 90.00°
Closest atoms and distances in Å follow each position.
Fractional coordinates of all 10 atoms:
Pd 0.8484 0.3484 0.5000  2 S 2.43
Pd 0.6516 0.8484 0.5000  2 S 2.43
Pd 0.1516 0.6516 0.5000  2 S 2.43
Pd 0.3484 0.1516 0.5000  2 S 2.43
S 0.3305 0.8305 0.0000  2 Pd 2.43, 2 Rh 2.44
S 0.8305 0.6695 0.0000  2 Pd 2.43, 2 Rh 2.44
S 0.6695 0.1695 0.0000  2 Pd 2.43, 2 Rh 2.44
S 0.1695 0.3305 0.0000  2 Pd 2.43, 2 Rh 2.44
Rh 0.0000 0.0000 0.0000  4 S 2.44
Rh 0.5000 0.5000 0.0000  4 S 2.44

- formation energy (no corrections) (meV/atom) = -8
- space group = P4/mbm

=====

No. 7
Pm2ThRh: optimized geometry, PBE-GGA.

Cell: 6.5671 6.7052 11.2832 Å, 89.99 90.00 90.00°
Closest atoms and distances in Å follow each position.
Fractional coordinates of all 16 atoms:
Pm 0.7712 0.4121 0.0826  2 Rh 2.89-2.91
Pm 0.7286 0.4121 0.4174  2 Rh 2.89-2.91
Pm 0.2713 0.0878 0.4174  2 Rh 2.89-2.91
Pm 0.7714 0.9121 0.9174  2 Rh 2.89-2.91
Pm 0.7287 0.9122 0.5826  2 Rh 2.89-2.91
Pm 0.2286 0.0879 0.0826  2 Rh 2.89-2.91
Pm 0.2288 0.5879 0.9174  2 Rh 2.89-2.91
Pm 0.2714 0.5879 0.5826  2 Rh 2.89-2.91
Rh 0.5000 0.2500 0.9035  2 Th 2.71, 4 Pm 2.89-2.91
Rh 0.0000 0.2500 0.5965  2 Th 2.71, 4 Pm 2.89-2.91
Rh 0.5000 0.7500 0.0965  2 Th 2.71, 4 Pm 2.89-2.91
Rh 0.0000 0.7500 0.4035  2 Th 2.71, 4 Pm 2.89-2.91
Th 0.7501 0.4422 0.7500  2 Rh 2.71
Th 0.2499 0.5578 0.2500  2 Rh 2.71
Th 0.7499 0.9422 0.2500  2 Rh 2.71
Th 0.2501 0.0578 0.7500  2 Rh 2.71

- space group = Pnna
- offset from the most stable computed form (meV/atom) = 154.0

=====

No. 8
Pr4ErGe4: optimized geometry, PBE-GGA.

Cell: 6.1831 9.0881 9.0881 Å, 90.00 90.00 90.00°
Closest atoms and distances in Å follow each position.
Fractional coordinates of all 18 atoms:
Ge 0.8544 0.7393 0.1201  1 Ge 2.70, 1 Er 2.76, 1 Pr 2.97
Ge 0.6456 0.2393 0.6201  1 Ge 2.70, 1 Er 2.76, 1 Pr 2.97
Ge 0.1456 0.1201 0.2607  1 Ge 2.70, 1 Er 2.76, 1 Pr 2.97
Ge 0.3544 0.3799 0.2393  1 Ge 2.70, 1 Er 2.76, 1 Pr 2.97
Ge 0.3544 0.6201 0.7607  1 Ge 2.70, 1 Er 2.76, 1 Pr 2.97
Ge 0.8544 0.2607 0.8799  1 Ge 2.70, 1 Er 2.76, 1 Pr 2.97
Ge 0.1456 0.8799 0.7393  1 Ge 2.70, 1 Er 2.76, 1 Pr 2.97
Ge 0.6456 0.7607 0.3799  1 Ge 2.70, 1 Er 2.76, 1 Pr 2.97
Pr 0.6343 0.0776 0.2984  5 Ge 2.97-3.29
Pr 0.6343 0.9224 0.7016  5 Ge 2.97-3.29
Pr 0.3657 0.2984 0.9224  5 Ge 2.97-3.29
Pr 0.1343 0.7984 0.4224  5 Ge 2.97-3.29
Pr 0.3657 0.7016 0.0776  5 Ge 2.97-3.29
Pr 0.8657 0.4224 0.2016  5 Ge 2.97-3.29
Pr 0.8657 0.5776 0.7984  5 Ge 2.97-3.29
Pr 0.1343 0.2016 0.5776  5 Ge 2.97-3.29
Er 0.0000 0.0000 0.0000  4 Ge 2.76
Er 0.5000 0.5000 0.5000  4 Ge 2.76

- space group = P4_2/n
- final energy (eV per atom) = -5.284

=====

No. 9
CsIn2Pt2: optimized geometry, PBE-GGA.

Cell: 4.7973 4.7973 6.6219 Å, 68.76 68.76 90.00°
Closest atoms and distances in Å follow each position.
Fractional coordinates of all 5 atoms:
Cs 0.0000 0.0000 0.0000  8 Pt 3.66, 8 In 3.72
In 0.7500 0.2500 0.5000  4 Pt 2.81
In 0.2500 0.7500 0.5000  4 Pt 2.81
Pt 0.3781 0.3781 0.2438  1 Pt 2.77, 4 In 2.81
Pt 0.6219 0.6219 0.7562  1 Pt 2.77, 4 In 2.81

- space group = I4/mmm
- offset from the most stable computed form (meV/atom) = 78.1

=====

No. 10
TaRh2Br: optimized geometry, PBE-GGA.

Cell: 8.4747 8.4747 8.4747 Å, 21.73 21.73 21.73°
Closest atoms and distances in Å follow each position.
Fractional coordinates of all 4 atoms:
Rh 0.5096 0.5096 0.5096  3 Ta 2.60
Rh 0.9904 0.9904 0.9904  3 Ta 2.60
Ta 0.2500 0.2500 0.2500  6 Rh 2.60
Br 0.7500 0.7500 0.7500  6 Rh 2.95, 6 Br 3.20

- formation energy (no corrections) (meV/atom) = -50
- space group = R-3m
- offset from the most stable computed form (meV/atom) = 188.6

=====

No. 11
ReAu2Cl: optimized geometry, PBE-GGA.

Cell: 3.0018 2.9490 8.2131 Å, 89.92 90.00 90.00°
Closest atoms and distances in Å follow each position.
Fractional coordinates of all 4 atoms:
Au 0.0000 0.2510 0.5235  2 Cl 2.70, 4 Re 2.81, 4 Au 2.95-3.00
Au 0.0000 0.2490 0.9765  2 Cl 2.70, 4 Re 2.81, 4 Au 2.95-3.00
Cl 0.5000 0.2500 0.2500  4 Au 2.70, 4 Cl 2.95-3.00
Re 0.5000 0.7500 0.7500  8 Au 2.81, 4 Re 2.95-3.00

- formation energy (no corrections) (meV/atom) = 494
- space group = P2/m
- offset from the most stable computed form (meV/atom) = 138.0

=====

No. 12
Y3Tl3CrSe8: optimized geometry, PBE-GGA.

Cell: 8.1452 8.1453 9.0285 Å, 116.81 90.00 120.00°
Closest atoms and distances in Å follow each position.
Fractional coordinates of all 15 atoms:
Tl 0.0000 0.0000 0.0000  6 Se 3.24-3.27
Tl 0.0000 0.5000 0.0000  6 Se 3.24-3.27
Tl 0.5000 0.5000 0.0000  6 Se 3.24-3.27
Se 0.7367 0.4734 0.7102  3 Y 2.85-2.86
Se 0.7835 0.0230 0.3066  1 Cr 2.61, 2 Y 2.88
Se 0.2633 0.5266 0.2898  3 Y 2.85-2.86
Se 0.7835 0.5670 0.3065  1 Cr 2.61, 2 Y 2.88
Se 0.7605 0.9770 0.6934  1 Cr 2.61, 2 Y 2.88
Se 0.2395 0.0230 0.3066  1 Cr 2.61, 2 Y 2.88
Se 0.2165 0.9770 0.6934  1 Cr 2.61, 2 Y 2.88
Se 0.2165 0.4330 0.6935  1 Cr 2.61, 2 Y 2.88
Y 0.5000 0.5000 0.5000  6 Se 2.86-2.88
Y 0.0000 0.5000 0.5000  6 Se 2.86-2.88
Y 0.5000 0.0000 0.5000  6 Se 2.85-2.88
Cr 0.0000 0.0000 0.5000  6 Se 2.61

- formation energy (no corrections) (meV/atom) = -1147
- space group = R-3m

=====

The following calculated density values (in g cm⁻³) correspond, in order, to the records above: 6.02, 2.86, 4.21, 15.63, 6.92, 8.26, 8.35, 6.64, 9.55, 10.60, 14.06, 5.86.